Here is an optimized crystal structure of BiIr2IF from the Alexandria database. Energies are from PBE.

For the formation energy (no corrections), the calculation gives 1.064 eV per atom. The value obtained for the density of states at the Fermi level is 0.876 states/eV/atom. The crystal system is tetragonal. As for the calculated volume: 101 Å³ per cell. The value obtained for the mass density is 12.18 g cm⁻³.

It has space group P4/mmm (No. 123), with a = 4.597 Å, b = 4.597 Å, c = 4.769 Å, α = 90.00°, β = 90.00° and γ = 90.00°. The distinct sites, in fractional coordinates, are Bi at (0.000, 0.000, 0.000), Ir at (0.000, 0.500, 0.500), I at (0.500, 0.500, 0.000) and F at (0.000, 0.000, 0.500).



Here is an optimized crystal structure of BiINF2 from the Alexandria database. Energies are from PBE.

For the formation energy (no corrections), the calculation gives 0.315 eV per atom. The value obtained for the offset from the most stable computed form is 701.1 meV per atom. The value obtained for the density of states at the Fermi level is 0.749 states/eV/atom. The crystal system is tetragonal. As for the calculated volume: 99 Å³ per cell. The value obtained for the mass density is 6.53 g cm⁻³.

It has space group P4/mmm (No. 123), with a = 4.924 Å, b = 4.924 Å, c = 4.066 Å, α = 90.00°, β = 90.00° and γ = 90.00°. The distinct sites, in fractional coordinates, are Bi at (0.000, 0.000, 0.000), I at (0.500, 0.500, 0.500), N at (0.500, 0.500, 0.000) and F at (0.000, 0.500, 0.500).



Here is an optimized crystal structure of BiIN2F from the Alexandria database. Energies are from PBE.

For the formation energy (no corrections), the calculation gives 1.781 eV per atom. The value obtained for the offset from the most stable computed form is 846.6 meV per atom. The value obtained for the density of states at the Fermi level is 0.488 states/eV/atom. The crystal system is tetragonal. As for the calculated volume: 97 Å³ per cell. The value obtained for the mass density is 6.53 g cm⁻³.

It has space group P4/mmm (No. 123), with a = 4.782 Å, b = 4.782 Å, c = 4.258 Å, α = 90.00°, β = 90.00° and γ = 90.00°. The distinct sites, in fractional coordinates, are Bi at (0.000, 0.000, 0.000), I at (0.500, 0.500, 0.000), N at (0.000, 0.500, 0.500) and F at (0.500, 0.500, 0.500).



Here is an optimized crystal structure of BiIN2F from the Alexandria database. Energies are from PBE.

For the formation energy (no corrections), the calculation gives 1.122 eV per atom. The value obtained for the offset from the most stable computed form is 187.6 meV per atom. The value obtained for the density of states at the Fermi level is 0.559 states/eV/atom. The crystal system is tetragonal. As for the calculated volume: 82 Å³ per cell. The value obtained for the mass density is 7.78 g cm⁻³.

It has space group P4/mmm (No. 123), with a = 4.268 Å, b = 4.268 Å, c = 4.487 Å, α = 90.00°, β = 90.00° and γ = 90.00°. The distinct sites, in fractional coordinates, are Bi at (0.000, 0.000, 0.000), I at (0.500, 0.500, 0.500), N at (0.000, 0.500, 0.500) and F at (0.500, 0.500, 0.000).



Here is an optimized crystal structure of BiINF2 from the Alexandria database. Energies are from PBE.

For the formation energy (no corrections), the calculation gives -0.386 eV per atom. The value obtained for the offset from the most stable computed form is 0.0 meV per atom. The value obtained for the density of states at the Fermi level is 0.293 states/eV/atom. The crystal system is tetragonal. As for the calculated volume: 99 Å³ per cell. The value obtained for the mass density is 6.51 g cm⁻³.

It has space group P4/mmm (No. 123), with a = 4.453 Å, b = 4.453 Å, c = 4.988 Å, α = 90.00°, β = 90.00° and γ = 90.00°. The distinct sites, in fractional coordinates, are Bi at (0.000, 0.000, 0.000), I at (0.500, 0.500, 0.500), N at (0.000, 0.000, 0.500) and F at (0.000, 0.500, 0.000).



Here is an optimized crystal structure of BiIN2F from the Alexandria database. Energies are from PBE.

For the formation energy (no corrections), the calculation gives 0.934 eV per atom. The value obtained for the offset from the most stable computed form is 0.0 meV per atom. The value obtained for the density of states at the Fermi level is 0.813 states/eV/atom. The crystal system is tetragonal. As for the calculated volume: 89 Å³ per cell. The value obtained for the mass density is 7.13 g cm⁻³.

It has space group P4/mmm (No. 123), with a = 4.506 Å, b = 4.506 Å, c = 4.395 Å, α = 90.00°, β = 90.00° and γ = 90.00°. The distinct sites, in fractional coordinates, are Bi at (0.000, 0.000, 0.000), I at (0.500, 0.500, 0.500), N at (0.000, 0.500, 0.000) and F at (0.000, 0.000, 0.500).



Here is an optimized crystal structure of BiIN2F from the Alexandria database. Energies are from PBE.

For the formation energy (no corrections), the calculation gives 1.374 eV per atom. The value obtained for the offset from the most stable computed form is 439.7 meV per atom. The value obtained for the density of states at the Fermi level is 0.500 states/eV/atom. The crystal system is tetragonal. As for the calculated volume: 126 Å³ per cell. The value obtained for the mass density is 5.05 g cm⁻³.

It has space group P4/mmm (No. 123), with a = 4.467 Å, b = 4.467 Å, c = 6.308 Å, α = 90.00°, β = 90.00° and γ = 90.00°. The distinct sites, in fractional coordinates, are Bi at (0.000, 0.000, 0.000), I at (0.000, 0.000, 0.500), N at (0.000, 0.500, 0.000) and F at (0.500, 0.500, 0.500).



Here is an optimized crystal structure of BiIOF2 from the Alexandria database. Energies are from PBE.

For the formation energy (no corrections), the calculation gives -1.070 eV per atom. The value obtained for the offset from the most stable computed form is 0.0 meV per atom. The value obtained for the density of states at the Fermi level is 0.796 states/eV/atom. The crystal system is tetragonal. As for the calculated volume: 98 Å³ per cell. The value obtained for the mass density is 6.58 g cm⁻³.

It has space group P4/mmm (No. 123), with a = 4.504 Å, b = 4.504 Å, c = 4.846 Å, α = 90.00°, β = 90.00° and γ = 90.00°. The distinct sites, in fractional coordinates, are Bi at (0.000, 0.000, 0.000), I at (0.500, 0.500, 0.500), O at (0.000, 0.000, 0.500) and F at (0.000, 0.500, 0.000).



Here is an optimized crystal structure of BiIOF2 from the Alexandria database. Energies are from PBE.

For the formation energy (no corrections), the calculation gives -0.293 eV per atom. The value obtained for the offset from the most stable computed form is 777.0 meV per atom. The value obtained for the density of states at the Fermi level is 0.685 states/eV/atom. The crystal system is tetragonal. As for the calculated volume: 104 Å³ per cell. The value obtained for the mass density is 6.20 g cm⁻³.

It has space group P4/mmm (No. 123), with a = 5.150 Å, b = 5.150 Å, c = 3.937 Å, α = 90.00°, β = 90.00° and γ = 90.00°. The distinct sites, in fractional coordinates, are Bi at (0.000, 0.000, 0.000), I at (0.500, 0.500, 0.500), O at (0.500, 0.500, 0.000) and F at (0.000, 0.500, 0.500).



Here is an optimized crystal structure of BiIO2F from the Alexandria database. Energies are from PBE.

For the formation energy (no corrections), the calculation gives -0.281 eV per atom. The value obtained for the density of states at the Fermi level is 0.848 states/eV/atom. The crystal system is tetragonal. As for the calculated volume: 115 Å³ per cell. The value obtained for the mass density is 5.59 g cm⁻³.

It has space group P4/mmm (No. 123), with a = 4.149 Å, b = 4.149 Å, c = 6.674 Å, α = 90.00°, β = 90.00° and γ = 90.00°. The distinct sites, in fractional coordinates, are Bi at (0.000, 0.000, 0.000), I at (0.000, 0.000, 0.500), O at (0.000, 0.500, 0.000) and F at (0.500, 0.500, 0.500).



Here is an optimized crystal structure of BiIO2F from the Alexandria database. Energies are from PBE.

For the formation energy (no corrections), the calculation gives -0.183 eV per atom. The value obtained for the density of states at the Fermi level is 0.735 states/eV/atom. The crystal system is tetragonal. As for the calculated volume: 106 Å³ per cell. The value obtained for the mass density is 6.07 g cm⁻³.

It has space group P4/mmm (No. 123), with a = 4.011 Å, b = 4.011 Å, c = 6.582 Å, α = 90.00°, β = 90.00° and γ = 90.00°. The distinct sites, in fractional coordinates, are Bi at (0.000, 0.000, 0.000), I at (0.500, 0.500, 0.500), O at (0.000, 0.500, 0.500) and F at (0.500, 0.500, 0.000).



Here is an optimized crystal structure of BiIO2F from the Alexandria database. Energies are from PBE.

For the formation energy (no corrections), the calculation gives -0.535 eV per atom. The value obtained for the density of states at the Fermi level is 0.805 states/eV/atom. The crystal system is tetragonal. As for the calculated volume: 92 Å³ per cell. The value obtained for the mass density is 6.98 g cm⁻³.

It has space group P4/mmm (No. 123), with a = 4.500 Å, b = 4.500 Å, c = 4.545 Å, α = 90.00°, β = 90.00° and γ = 90.00°. The distinct sites, in fractional coordinates, are Bi at (0.000, 0.000, 0.000), I at (0.500, 0.500, 0.500), O at (0.000, 0.500, 0.000) and F at (0.000, 0.000, 0.500).



Here is an optimized crystal structure of BiIO4F2 from the Alexandria database. Energies are from PBE.

For the formation energy (no corrections), the calculation gives -0.258 eV per atom. The value obtained for the density of states at the Fermi level is 0.755 states/eV/atom. The crystal system is orthorhombic. As for the calculated volume: 487 Å³ per cell. The value obtained for the mass density is 5.98 g cm⁻³.

It has space group Imma (No. 74), with a = 6.021 Å, b = 7.990 Å, c = 10.116 Å, α = 90.00°, β = 90.00° and γ = 90.00°. The distinct sites, in fractional coordinates, are Bi at (0.000, 0.000, 0.000), I at (0.250, 0.250, 0.250), O at (0.000, 0.079, 0.249), O at (0.228, 0.250, 0.062), F at (0.000, 0.000, 0.500) and F at (0.250, 0.250, 0.750).